Entry a
VASP calculation (PBE) on a relaxed structure of BaTcO5.

Output
Total moment (μB per formula unit): 1.02
Density (g/cm³): 4.2

a = 10.1468 Å, b = 7.2238 Å, c = 7.7707 Å
α = 90.00°, β = 118.25°, γ = 90.00°
Closest atoms and distances in Å follow each position.
Space group C2/c (No. 15)
Unique sites:
1 Ba 0.0000 0.0594 0.2500 (multiplicity 4)  7 O 2.69-2.75
2 Tc 0.0000 0.5000 0.0000 (multiplicity 4)  6 O 1.83-1.99
3 O 0.0000 0.4401 0.2500 (multiplicity 4)  2 Tc 1.99
4 O 0.0086 0.2480 0.9569 (multiplicity 8)  1 Tc 1.86
5 O 0.2049 0.4883 0.6281 (multiplicity 8)  1 Tc 1.83

=====

Entry b
VASP calculation (PBE) on a relaxed structure of BaTcO5.

Output
Total moment (μB per formula unit): 1.00
Density (g/cm³): 2.6

a = 9.4633 Å, b = 10.3534 Å, c = 9.4998 Å
α = 90.00°, β = 119.11°, γ = 90.00°
Closest atoms and distances in Å follow each position.
Space group C2/c (No. 15)
Unique sites:
1 Ba 0.0000 0.0000 0.0000 (multiplicity 4)  2 O 2.48
2 Tc 0.0000 0.3494 0.2500 (multiplicity 4)  4 O 1.74
3 O 0.0000 0.0679 0.7500 (multiplicity 4)  2 Ba 2.48
4 O 0.0181 0.2510 0.1109 (multiplicity 8)  1 Tc 1.74
5 O 0.1712 0.4459 0.3491 (multiplicity 8)  1 Tc 1.74

=====

Ordering by calculated energy gives the sequence entry b, entry a, with the first entry being the most stable.

=====

Entry a
VASP calculation (PBE) on a relaxed structure of BaTc3O.

Output
Total moment (μB per formula unit): 10.49
Density (g/cm³): 5.1

a = 5.2567 Å, b = 5.2567 Å, c = 5.2567 Å
α = 90.00°, β = 90.00°, γ = 90.00°
Closest atoms and distances in Å follow each position.
Space group Pm-3m (No. 221)
Unique sites:
1 Ba 0.0000 0.0000 0.0000 (multiplicity 1)  6 Tc 2.63
2 Tc 0.0000 0.0000 0.5000 (multiplicity 3)  2 Ba 2.63
3 O 0.5000 0.5000 0.5000 (multiplicity 1)  12 Tc 3.72

=====

Entry b
VASP calculation (PBE) on a relaxed structure of BaTc3O.

Output
Total moment (μB per formula unit): 2.55
Density (g/cm³): 8.8

a = 4.3809 Å, b = 4.3809 Å, c = 4.3809 Å
α = 90.00°, β = 90.00°, γ = 90.00°
Closest atoms and distances in Å follow each position.
Space group Pm-3m (No. 221)
Unique sites:
1 Ba 0.0000 0.0000 0.0000 (multiplicity 1)  12 Tc 3.10
2 Tc 0.0000 0.5000 0.5000 (multiplicity 3)  2 O 2.19
3 O 0.5000 0.5000 0.5000 (multiplicity 1)  6 Tc 2.19

=====

Ordering by calculated energy gives the sequence entry b, entry a, with the first entry being the most stable.

=====

Entry a
VASP calculation (PBE) on a relaxed structure of Ba3TcO6.

Output
Total moment (μB per formula unit): 1.02
Density (g/cm³): 5.3

a = 10.4205 Å, b = 10.4205 Å, c = 12.0829 Å
α = 90.00°, β = 90.00°, γ = 120.00°
Closest atoms and distances in Å follow each position.
Space group R-3 (No. 148, hexagonal axes)
Unique sites:
1 Ba 0.0402 0.2685 0.2048 (multiplicity 18)  6 O 2.64-2.77
2 Tc 0.0000 0.0000 0.0000 (multiplicity 3)  6 O 1.97
3 Tc 0.0000 0.0000 0.5000 (multiplicity 3)  6 O 1.96
4 O 0.0236 0.1673 0.4099 (multiplicity 18)  1 Tc 1.96
5 O 0.0253 0.1652 0.9061 (multiplicity 18)  1 Tc 1.97

=====

Entry b
VASP calculation (PBE) on a relaxed structure of Ba3TcO6.

Output
Total moment (μB per formula unit): 1.01
Density (g/cm³): 5.8

a = 10.5836 Å, b = 6.1757 Å, c = 6.3827 Å
α = 90.00°, β = 123.29°, γ = 90.00°
Closest atoms and distances in Å follow each position.
Space group C2/m (No. 12)
Unique sites:
1 Ba 0.0000 0.0000 0.0000 (multiplicity 2)  6 O 2.60-2.66
2 Ba 0.2416 0.0000 0.7228 (multiplicity 4)  5 O 2.70-2.79
3 Tc 0.0000 0.5000 0.5000 (multiplicity 2)  6 O 1.94-1.96
4 O 0.0576 0.2764 0.3493 (multiplicity 8)  1 Tc 1.96
5 O 0.2037 0.5000 0.7966 (multiplicity 4)  1 Tc 1.94

=====

Ordering by calculated energy gives the sequence entry b, entry a, with the first entry being the most stable.

=====

Entry a
VASP calculation (PBE) on a relaxed structure of BaTeO4.

Output
Total moment (μB per formula unit): 0.00
Density (g/cm³): 5.1

a = 6.0399 Å, b = 13.7954 Å, c = 5.1481 Å
α = 90.00°, β = 90.00°, γ = 90.00°
Closest atoms and distances in Å follow each position.
Space group Pbcn (No. 60)
Unique sites:
1 Ba 0.0000 0.1638 0.2500 (multiplicity 4)  6 O 2.70-2.78
2 Te 0.0000 0.4330 0.2500 (multiplicity 4)  6 O 1.88-2.04
3 O 0.1758 0.4594 0.5719 (multiplicity 8)  2 Te 2.00-2.04
4 O 0.2076 0.3392 0.1456 (multiplicity 8)  1 Te 1.88

=====

Entry b
VASP calculation (PBE) on a relaxed structure of BaTeO4.

Output
Total moment (μB per formula unit): 0.00
Density (g/cm³): 5.8

a = 3.8866 Å, b = 3.8866 Å, c = 6.1987 Å
α = 90.00°, β = 90.00°, γ = 90.00°
Closest atoms and distances in Å follow each position.
Space group P4/mmm (No. 123)
Unique sites:
1 Ba 0.0000 0.0000 0.0000 (multiplicity 1)  8 O 3.00
2 Te 0.5000 0.5000 0.5000 (multiplicity 1)  6 O 1.90-1.94
3 O 0.0000 0.5000 0.5000 (multiplicity 2)  2 Te 1.94
4 O 0.5000 0.5000 0.1940 (multiplicity 2)  1 Te 1.90

=====

Ordering by calculated energy gives the sequence entry a, entry b, with the first entry being the most stable.